Entry 1:
Na2Ca2V | PBE | relaxed

Energy above the most stable polymorph in this dataset   11.0 kJ/mol of atoms
ΔH_f (0 K)   0.71 eV/atom
Density of states at the Fermi level   0.93 states/eV per atom

abc: 6.207 6.207 6.163
angles: 59.76 59.76 90.00
Site moments in Bohr magnetons follow the coordinates.
Fractional coordinates of all 5 atoms:
1 Na 0.649 0.649 0.702  0.01
2 Ca 0.750 0.250 0.500  0.06
3 V 0.000 0.000 0.000  3.05
4 Ca 0.250 0.750 0.500  0.06
5 Na 0.351 0.351 0.298  0.01


Entry 2:
K6Rb2AuS | PBE | relaxed

Energy relative to the elements, uncorrected   -321 meV/atom
Density of states at the Fermi level   0.66 states/eV per atom

abc: 9.319 9.319 9.293
angles: 119.98 119.98 89.91
Fractional coordinates of all 10 atoms:
1 S 0.000 0.000 0.999
2 Rb 0.750 0.252 0.501
3 K 0.763 0.238 0.000
4 Au 0.499 0.500 0.998
5 K 0.764 0.764 0.001
6 Rb 0.251 0.750 0.501
7 K 0.237 0.237 0.999
8 K 0.237 0.763 0.000
9 K 0.236 0.237 0.473
10 K 0.763 0.763 0.524


Entry 3:
AgHgW2 | PBE | relaxed

ΔH_f (0 K)   0.64 eV/atom
Density of states at the Fermi level   0.77 states/eV per atom

abc: 2.756 4.274 6.002
angles: 90.00 90.00 90.00
Fractional coordinates of all 4 atoms:
1 Hg 0.500 0.500 0.743
2 W 0.500 0.500 0.231
3 W 0.000 0.000 0.026
4 Ag 0.000 0.000 0.500


Entry 4:
DyAlSn | PBE | relaxed

ΔH_f (0 K)   -0.17 eV/atom
Density of states at the Fermi level   0.88 states/eV per atom

abc: 4.199 4.199 5.282
angles: 113.42 113.42 90.00
Fractional coordinates of all 3 atoms:
1 Al 0.940 0.940 0.880
2 Dy 0.282 0.282 0.565
3 Sn 0.628 0.628 0.256


Entry 5:
TcMo | PBE | relaxed

Energy above the most stable polymorph in this dataset   1.4 kJ/mol of atoms
ΔH_f (0 K)   0.09 eV/atom
Density of states at the Fermi level   0.85 states/eV per atom

abc: 3.127 3.121 6.303
angles: 90.00 90.46 90.00
Fractional coordinates of all 4 atoms:
1 Tc 0.234 0.250 0.638
2 Mo 0.243 0.250 0.132
3 Tc 0.766 0.750 0.362
4 Mo 0.757 0.750 0.868


Entry 6:
Ti2Mn5Be2Al | PBE | relaxed

ΔH_f (0 K)   -0.12 eV/atom
Density of states at the Fermi level   1.04 states/eV per atom

abc: 3.244 8.726 8.726
angles: 90.00 90.00 90.00
Site moments in Bohr magnetons follow the coordinates.
Fractional coordinates of all 20 atoms:
1 Al 0.000 0.500 0.500  -0.04
2 Ti 0.000 0.328 0.828  -0.59
3 Mn 0.500 0.571 0.712  2.30
4 Mn 0.500 0.500 0.000  1.50
5 Be 0.000 0.879 0.379  -0.09
6 Mn 0.500 0.712 0.429  2.30
7 Mn 0.500 0.288 0.571  2.30
8 Be 0.000 0.621 0.879  -0.09
9 Ti 0.000 0.672 0.172  -0.59
10 Be 0.000 0.121 0.621  -0.09
11 Al 0.000 0.000 0.000  -0.04
12 Mn 0.500 0.929 0.212  2.30
13 Mn 0.500 0.071 0.788  2.30
14 Ti 0.000 0.828 0.672  -0.59
15 Mn 0.500 0.429 0.288  2.30
16 Mn 0.500 0.000 0.500  1.50
17 Mn 0.500 0.212 0.071  2.30
18 Be 0.000 0.379 0.121  -0.09
19 Mn 0.500 0.788 0.929  2.30
20 Ti 0.000 0.172 0.328  -0.59